No. 1
A geometry-optimized LaTaRu structure, computed with GGA-PBE.

Cell and atoms, written as POSCAR:
```
LaTaRu
1.0
-1.6947 2.1330 1.8470
1.7049 -2.4243 1.4314
5.6737 4.1999 0.3555
La Ru Ta
1 1 1
Cartesian
0.0867 0.0642 0.0054 La
1.5605 2.1846 1.8414 Ru
4.0367 1.6597 1.7871 Ta
```

Results
**Calculated formation energy**: 0.299 eV per atom


No. 2
A geometry-optimized InSbF2 structure, computed with GGA-PBE.

Cell and atoms, written as POSCAR:
```
InSbF2
1.0
0.0000 3.2893 3.2893
3.2893 0.0000 3.2893
3.2893 3.2893 0.0000
Sb F In
1 2 1
Cartesian
3.2893 3.2893 3.2893 Sb
1.6446 1.6446 1.6446 F
4.9339 4.9339 4.9339 F
0.0000 0.0000 0.0000 In
```

Results
**Uncorrected formation energy**: -0.946 eV per atom


Respective magnetization values: 0.0, 0.0 μB per cell.
Respective DOS(E_F) values: 3.34, 3.79 states/eV/f.u..
Respective energy above the lowest structure with this stoichiometry values: 0.511, 0.495 eV/atom.